## one
This record from Alexandria describes Y2TaBe after structural relaxation. The functional is GGA-PBEsol.

The space group is Immm (No. 71) and the conventional cell measures 3.3426, 4.5770 and 10.6009 Å, with angles of 90.00, 90.00 and 90.00 degrees. Symmetry generates all atoms from Y at (0.0000, 0.0000, 0.2029), Ta at (0.0000, 0.5000, 0.0000) and Be at (0.0000, 0.5000, 0.5000).

For the mass density, the calculation gives 7.5 g cm⁻³. As for the total moment: 0.000 μB per atom. For the density of states at the Fermi level, the calculation gives 0.92 states/eV/atom. The crystal system is orthorhombic.

## two
This record from Alexandria describes Y2TaBe after structural relaxation. The functional is GGA-PBEsol.

The space group is I4/mmm (No. 139) and the conventional cell measures 4.3992, 4.3992 and 8.5482 Å, with angles of 90.00, 90.00 and 90.00 degrees. Symmetry generates all atoms from Y at (0.0000, 0.5000, 0.2500), Ta at (0.0000, 0.0000, 0.0000) and Be at (0.0000, 0.0000, 0.5000).

For the mass density, the calculation gives 7.4 g cm⁻³. As for the total moment: 0.000 μB per atom. For the density of states at the Fermi level, the calculation gives 0.94 states/eV/atom. The crystal system is tetragonal.

## three
This record from Alexandria describes Y2TaBe after structural relaxation. The functional is GGA-PBEsol.

The space group is P4mm (No. 99) and the conventional cell measures 3.2791, 3.2791 and 7.9543 Å, with angles of 90.00, 90.00 and 90.00 degrees. Symmetry generates all atoms from Y at (0.0000, 0.0000, 0.0000), Y at (0.5000, 0.5000, 0.3727), Ta at (0.5000, 0.5000, 0.7410) and Be at (0.0000, 0.0000, 0.6025).

For the mass density, the calculation gives 7.1 g cm⁻³. As for the total moment: 0.000 μB per atom. For the density of states at the Fermi level, the calculation gives 0.97 states/eV/atom. The crystal system is tetragonal.

Energetically preferred structure: three | next structure: +246 meV per atom